DFT (PBE) results for crystalline ScHg4 at its relaxed geometry.

The structure in extended XYZ format:
```
10
Lattice="-4.443 4.443 3.464 4.443 -4.443 3.464 4.443 4.443 -3.464" Properties=species:S:1:pos:R:3 pbc="T T T"
Sc 4.443 2.222 0.866
Sc 0.000 2.222 2.598
Hg 4.443 -0.544 1.629
Hg 4.443 3.899 -1.629
Hg 1.678 2.222 0.103
Hg 2.766 -2.222 3.566
Hg 1.678 6.665 -0.103
Hg 2.766 2.222 3.361
Hg 0.000 0.544 5.093
Hg 0.000 4.987 1.834
```

Properties
Distance to the lowest polymorph of the same formula ... 53.4 meV per atom
ΔH_f (0 K) ... -0.24 eV per formula unit